Entry 1:
The following is a DFT calculation (PBE-GGA) of PmPu2 after structural relaxation.

Cell lengths 6.216, 6.216, 6.216 Å; angles 60.00, 60.00, 60.00 degrees
Site moments in Bohr magnetons follow the coordinates.
Element x y z (fractional)
Pu: 0.625 0.125 0.625  5.36
Pu: 0.625 0.625 0.625  5.36
Pu: 0.125 0.625 0.625  5.36
Pu: 0.625 0.625 0.125  5.36
Pm: 0.000 0.000 0.000  0.00
Pm: 0.250 0.250 0.250  0.00

## Properties
- M_tot: 11.33 μB/f.u.
- DOS at the Fermi energy: 27.925 states/eV/cell
- Theoretical density: 12378 kg/m³
- Space group: Fd-3m (227)
- Energy relative to the elements: 0.244 eV/atom
- Calculated volume: 169.8 Å³/cell

Entry 2:
The following is a DFT calculation (PBE-GGA) of RhI3 after structural relaxation.

Cell lengths 7.769, 7.769, 7.433 Å; angles 58.49, 58.49, 90.00 degrees
Element x y z (fractional)
I: 0.521 0.125 0.250
I: 0.229 0.625 0.250
I: 0.375 0.479 0.750
I: 0.750 0.250 0.500
I: 0.875 0.771 0.750
I: 0.000 0.000 0.000
Rh: 0.250 0.750 0.500
Rh: 0.500 0.500 0.000

## Properties
- M_tot: 0.00 μB/f.u.
- DOS at the Fermi energy: 8.412 states/eV/cell
- Calculated total energy: -2.765 eV per atom
- Theoretical density: 5315 kg/m³
- Space group: I-42d (122)
- Calculated volume: 302.2 Å³/cell

Entry 3:
The following is a DFT calculation (PBE-GGA) of Tl2Ag2Pd3 after structural relaxation.

Cell lengths 4.464, 5.664, 6.588 Å; angles 106.65, 109.80, 90.00 degrees
Element x y z (fractional)
Ag: 0.808 0.667 0.617
Ag: 0.192 0.333 0.383
Tl: 0.568 0.810 0.135
Tl: 0.432 0.190 0.865
Pd: 0.000 0.500 0.000
Pd: 0.215 0.842 0.431
Pd: 0.785 0.158 0.569

## Properties
- M_tot: 0.00 μB/f.u.
- DOS at the Fermi energy: 3.274 states/eV/cell
- Theoretical density: 10498 kg/m³
- Space group: C2/m (12)
- Energy relative to the elements: 0.033 eV/atom
- Calculated volume: 149.3 Å³/cell

Entry 4:
The following is a DFT calculation (PBE-GGA) of Sm3Te3H after structural relaxation.

Cell lengths 7.469, 7.469, 7.655 Å; angles 96.98, 96.98, 109.81 degrees
Element x y z (fractional)
Sm: 0.151 0.450 0.302
Sm: 0.450 0.151 0.302
Sm: 0.849 0.550 0.698
Sm: 0.099 0.099 0.832
Sm: 0.550 0.849 0.698
Sm: 0.901 0.901 0.168
Te: 0.233 0.767 0.000
Te: 0.842 0.158 0.500
Te: 0.394 0.394 0.666
Te: 0.767 0.233 0.000
Te: 0.606 0.606 0.334
Te: 0.158 0.842 0.500
H: 0.825 0.825 0.851
H: 0.175 0.175 0.149

## Properties
- M_tot: 0.02 μB/f.u.
- DOS at the Fermi energy: 9.467 states/eV/cell
- Calculated total energy: -4.976 eV per atom
- Theoretical density: 7061 kg/m³
- Space group: C2/m (12)
- Calculated volume: 392.7 Å³/cell

Entry 5:
The following is a DFT calculation (PBE-GGA) of ReRh2W after structural relaxation.

Cell lengths 4.422, 2.744, 4.838 Å; angles 90.00, 90.00, 90.00 degrees
Element x y z (fractional)
Rh: 0.500 0.125 0.292
Rh: 0.000 0.125 0.954
Re: 0.500 0.625 0.794
W: 0.000 0.625 0.461

## Properties
- M_tot: 0.00 μB/f.u.
- DOS at the Fermi energy: 1.695 states/eV/cell
- Theoretical density: 16290 kg/m³
- Space group: Pmm2 (25)
- Energy relative to the elements: -0.200 eV/atom
- Calculated volume: 58.7 Å³/cell

Entry 6:
The following is a DFT calculation (PBE-GGA) of KCo3As3 after structural relaxation.

Cell lengths 6.511, 6.511, 8.872 Å; angles 68.47, 68.47, 60.00 degrees
Site moments in Bohr magnetons follow the coordinates.
Element x y z (fractional)
Co: 0.211 0.510 0.400  0.15
Co: 0.789 0.490 0.600  0.15
Co: 0.510 0.879 0.400  0.15
Co: 0.879 0.211 0.400  0.15
Co: 0.490 0.121 0.600  0.15
Co: 0.121 0.789 0.600  0.15
As: 0.411 0.785 0.687  0.00
As: 0.215 0.883 0.313  0.00
As: 0.589 0.215 0.313  0.00
As: 0.785 0.117 0.687  0.00
As: 0.884 0.589 0.313  0.00
As: 0.116 0.411 0.687  0.00
K: 0.331 0.331 0.006  0.00
K: 0.669 0.669 0.994  0.00

## Properties
- M_tot: 0.46 μB/f.u.
- DOS at the Fermi energy: 12.664 states/eV/cell
- Theoretical density: 4960 kg/m³
- Space group: R-3 (148)
- Energy relative to the elements: -0.220 eV/atom
- Calculated volume: 295.1 Å³/cell

Entry 7:
The following is a DFT calculation (PBE-GGA) of ErPaTlGa after structural relaxation.

Cell lengths 5.210, 5.210, 5.210 Å; angles 60.00, 60.00, 60.00 degrees
Site moments in Bohr magnetons follow the coordinates.
Element x y z (fractional)
Ga: 0.750 0.750 0.750  0.01
Er: 0.000 0.000 0.000  0.13
Pa: 0.500 0.500 0.500  0.80
Tl: 0.250 0.250 0.250  0.01

## Properties
- M_tot: 1.12 μB/f.u.
- DOS at the Fermi energy: 8.251 states/eV/cell
- Theoretical density: 11168 kg/m³
- Space group: F-43m (216)
- Energy relative to the elements: -0.067 eV/atom
- Calculated volume: 100.0 Å³/cell

Entry 8:
The following is a DFT calculation (PBE-GGA) of Pu2Al3HgAu4 after structural relaxation.

Cell lengths 4.303, 4.303, 11.458 Å; angles 90.00, 90.00, 90.00 degrees
Site moments in Bohr magnetons follow the coordinates.
Element x y z (fractional)
Al: 0.000 0.500 0.125  -0.01
Al: 0.000 0.000 0.500  0.00
Al: 0.500 0.000 0.875  -0.01
Pu: 0.000 0.500 0.758  5.36
Pu: 0.500 0.000 0.242  5.36
Au: 0.000 0.000 0.000  -0.01
Au: 0.000 0.500 0.342  0.00
Au: 0.500 0.000 0.658  0.00
Au: 0.500 0.500 0.000  -0.01
Hg: 0.500 0.500 0.500  0.01

## Properties
- M_tot: 11.31 μB/f.u.
- DOS at the Fermi energy: 28.500 states/eV/cell
- Theoretical density: 12191 kg/m³
- Space group: P-4m2 (115)
- Energy relative to the elements: -0.388 eV/atom
- Calculated volume: 212.1 Å³/cell

Entry 9:
The following is a DFT calculation (PBE-GGA) of Zn2MoNCl after structural relaxation.

Cell lengths 4.605, 4.417, 4.605 Å; angles 90.00, 90.00, 90.00 degrees
Site moments in Bohr magnetons follow the coordinates.
Element x y z (fractional)
Zn: 0.500 0.000 0.000  -0.02
Zn: 0.000 0.000 0.500  -0.04
N: 0.500 0.500 0.500  -0.15
Mo: 0.000 0.500 0.000  1.17
Cl: 0.000 0.000 0.000  0.00

## Properties
- M_tot: 1.06 μB/f.u.
- DOS at the Fermi energy: 4.153 states/eV/cell
- Calculated total energy: -2.695 eV per atom
- Theoretical density: 4897 kg/m³
- Space group: P4/mmm (123)
- Calculated volume: 93.7 Å³/cell

Entry 10:
The following is a DFT calculation (PBE-GGA) of In2HgBr after structural relaxation.

Cell lengths 4.043, 4.042, 7.116 Å; angles 90.00, 90.00, 90.00 degrees
Element x y z (fractional)
Hg: 0.500 0.500 0.750
Br: 0.500 0.500 0.250
In: 0.000 0.000 0.986
In: 0.000 0.000 0.514

## Properties
- M_tot: 0.00 μB/f.u.
- DOS at the Fermi energy: 0.937 states/eV/cell
- Calculated total energy: -2.083 eV per atom
- Theoretical density: 7283 kg/m³
- Space group: P4/mmm (123)
- Calculated volume: 116.3 Å³/cell

Entry 11:
The following is a DFT calculation (PBE-GGA) of Dy2ZrIn3 after structural relaxation.

Cell lengths 3.345, 3.345, 13.303 Å; angles 90.00, 90.00, 90.00 degrees
Site moments in Bohr magnetons follow the coordinates.
Element x y z (fractional)
Dy: 0.500 0.500 0.174  0.21
Dy: 0.500 0.500 0.826  0.21
In: 0.000 0.000 0.656  0.00
In: 0.000 0.000 0.344  0.00
In: 0.000 0.000 0.000  0.01
Zr: 0.500 0.500 0.500  -0.01

## Properties
- M_tot: 0.52 μB/f.u.
- DOS at the Fermi energy: 5.463 states/eV/cell
- Theoretical density: 8486 kg/m³
- Space group: P4/mmm (123)
- Energy relative to the elements: -0.384 eV/atom
- Calculated volume: 148.8 Å³/cell

Entry 12:
The following is a DFT calculation (PBE-GGA) of CuTcS2N after structural relaxation.

Cell lengths 4.768, 4.768, 3.688 Å; angles 90.00, 90.00, 90.00 degrees
Element x y z (fractional)
N: 0.000 0.000 0.500
Cu: 0.500 0.500 0.500
S: 0.000 0.500 0.000
S: 0.500 0.000 0.000
Tc: 0.000 0.000 0.000

## Properties
- M_tot: 0.00 μB/f.u.
- DOS at the Fermi energy: 2.984 states/eV/cell
- Calculated total energy: -5.693 eV per atom
- Theoretical density: 4747 kg/m³
- Space group: P4/mmm (123)
- Calculated volume: 83.8 Å³/cell

Entry 13:
The following is a DFT calculation (PBE-GGA) of Pr2ScGe3Pt4 after structural relaxation.

Cell lengths 4.304, 4.304, 10.887 Å; angles 90.00, 90.00, 90.00 degrees
Element x y z (fractional)
Ge: 0.000 0.000 0.500
Ge: 0.000 0.500 0.128
Ge: 0.500 0.000 0.872
Pt: 0.000 0.500 0.356
Pt: 0.500 0.500 0.000
Pt: 0.000 0.000 0.000
Pt: 0.500 0.000 0.644
Pr: 0.500 0.000 0.233
Pr: 0.000 0.500 0.767
Sc: 0.500 0.500 0.500

## Properties
- M_tot: 0.00 μB/f.u.
- DOS at the Fermi energy: 8.776 states/eV/cell
- Theoretical density: 10912 kg/m³
- Space group: P-4m2 (115)
- Energy relative to the elements: -0.990 eV/atom
- Calculated volume: 201.6 Å³/cell

Entry 14:
The following is a DFT calculation (PBE-GGA) of CrSb2W after structural relaxation.

Cell lengths 4.782, 4.782, 4.782 Å; angles 60.00, 60.00, 60.00 degrees
Site moments in Bohr magnetons follow the coordinates.
Element x y z (fractional)
Sb: 0.250 0.250 0.250  -0.02
Sb: 0.000 0.000 0.000  0.04
Cr: 0.500 0.500 0.500  2.61
W: 0.750 0.750 0.750  -0.70

## Properties
- M_tot: 1.91 μB/f.u.
- DOS at the Fermi energy: 1.925 states/eV/cell
- Calculated total energy: -6.864 eV per atom
- Theoretical density: 10296 kg/m³
- Space group: F-43m (216)
- Calculated volume: 77.3 Å³/cell

Entry 15:
The following is a DFT calculation (PBE-GGA) of HfVFe2Pb after structural relaxation.

Cell lengths 4.666, 4.884, 4.666 Å; angles 90.00, 90.00, 90.00 degrees
Site moments in Bohr magnetons follow the coordinates.
Element x y z (fractional)
Fe: 0.500 0.000 0.000  0.37
Fe: 0.000 0.000 0.500  0.14
Hf: 0.500 0.500 0.500  0.01
Pb: 0.000 0.000 0.000  0.00
V: 0.000 0.500 0.000  2.11

## Properties
- M_tot: 2.87 μB/f.u.
- DOS at the Fermi energy: 5.209 states/eV/cell
- Theoretical density: 8563 kg/m³
- Space group: P4/mmm (123)
- Energy relative to the elements: 1.805 eV/atom
- Calculated volume: 106.3 Å³/cell

Entry 16:
The following is a DFT calculation (PBE-GGA) of RbSCl after structural relaxation.

Cell lengths 4.984, 4.124, 12.343 Å; angles 68.41, 68.94, 89.87 degrees
Element x y z (fractional)
S: 0.120 0.221 0.974
S: 0.880 0.779 0.026
Cl: 0.385 0.418 0.346
Cl: 0.615 0.582 0.654
Rb: 0.108 0.074 0.661
Rb: 0.892 0.926 0.339

## Properties
- M_tot: 0.00 μB/f.u.
- DOS at the Fermi energy: 1.933 states/eV/cell
- Calculated total energy: -3.400 eV per atom
- Theoretical density: 2334 kg/m³
- Space group: P-1 (2)
- Calculated volume: 217.7 Å³/cell

Entry 17:
The following is a DFT calculation (PBE-GGA) of SrEuMgCu after structural relaxation.

Cell lengths 5.533, 5.533, 5.533 Å; angles 60.00, 60.00, 60.00 degrees
Site moments in Bohr magnetons follow the coordinates.
Element x y z (fractional)
Cu: 0.250 0.250 0.250  -0.01
Eu: 0.000 0.000 0.000  6.90
Sr: 0.500 0.500 0.500  0.02
Mg: 0.750 0.750 0.750  0.01

## Properties
- M_tot: 7.39 μB/f.u.
- DOS at the Fermi energy: 10.098 states/eV/cell
- Theoretical density: 4541 kg/m³
- Space group: F-43m (216)
- Energy relative to the elements: 0.039 eV/atom
- Calculated volume: 119.7 Å³/cell

Entry 18:
The following is a DFT calculation (PBE-GGA) of Y12CdNi6 after structural relaxation.

Cell lengths 8.440, 8.440, 8.440 Å; angles 109.47, 109.47, 109.47 degrees
Element x y z (fractional)
Y: 0.302 0.115 0.813
Y: 0.187 0.302 0.490
Y: 0.187 0.698 0.885
Y: 0.698 0.885 0.187
Y: 0.885 0.187 0.698
Y: 0.510 0.813 0.698
Y: 0.490 0.187 0.302
Y: 0.813 0.302 0.115
Y: 0.115 0.813 0.302
Y: 0.813 0.698 0.510
Y: 0.302 0.490 0.187
Y: 0.698 0.510 0.813
Cd: 0.000 0.000 0.000
Ni: 0.378 0.500 0.878
Ni: 0.500 0.122 0.622
Ni: 0.122 0.622 0.500
Ni: 0.500 0.878 0.378
Ni: 0.878 0.378 0.500
Ni: 0.622 0.500 0.122

## Properties
- M_tot: 0.00 μB/f.u.
- DOS at the Fermi energy: 24.779 states/eV/cell
- Theoretical density: 5494 kg/m³
- Space group: Im-3 (204)
- Energy relative to the elements: -0.324 eV/atom
- Calculated volume: 462.9 Å³/cell

Entry 19:
The following is a DFT calculation (PBE-GGA) of TiSnPd14 after structural relaxation.

Cell lengths 5.676, 5.676, 7.755 Å; angles 90.00, 90.00, 90.00 degrees
Element x y z (fractional)
Pd: 0.121 0.121 0.746
Pd: 0.121 0.629 0.254
Pd: 0.875 0.875 0.000
Pd: 0.875 0.375 0.000
Pd: 0.375 0.875 0.000
Pd: 0.121 0.121 0.254
Pd: 0.375 0.375 0.000
Pd: 0.629 0.629 0.254
Pd: 0.629 0.629 0.746
Pd: 0.375 0.875 0.500
Pd: 0.629 0.121 0.254
Pd: 0.121 0.629 0.746
Pd: 0.875 0.375 0.500
Pd: 0.629 0.121 0.746
Sn: 0.375 0.375 0.500
Ti: 0.875 0.875 0.500

## Properties
- M_tot: 0.00 μB/f.u.
- DOS at the Fermi energy: 22.297 states/eV/cell
- Theoretical density: 11010 kg/m³
- Space group: P4/mmm (123)
- Energy relative to the elements: -0.285 eV/atom
- Calculated volume: 249.8 Å³/cell

Entry 20:
The following is a DFT calculation (PBE-GGA) of DyPaHgPd after structural relaxation.

Cell lengths 5.119, 5.119, 5.119 Å; angles 60.00, 60.00, 60.00 degrees
Site moments in Bohr magnetons follow the coordinates.
Element x y z (fractional)
Dy: 0.750 0.750 0.750  0.06
Pa: 0.250 0.250 0.250  0.38
Hg: 0.500 0.500 0.500  -0.01
Pd: 0.000 0.000 0.000  -0.03

## Properties
- M_tot: 0.47 μB/f.u.
- DOS at the Fermi energy: 5.675 states/eV/cell
- Theoretical density: 12265 kg/m³
- Space group: F-43m (216)
- Energy relative to the elements: -0.247 eV/atom
- Calculated volume: 94.8 Å³/cell